No. 1
Density functional theory data (PBE-GGA) for a relaxed La5PrY crystal.

N(E_F) (states/eV per cell): 20.78
Energy above the most stable polymorph in this dataset (eV/atom): 0.000
Calculated formation energy (meV/atom): 131
Uncorrected energy (eV/atom): -4.995
SG: C2/c (15)

Cell lengths 7.058, 7.058, 12.775 Å; angles 109.21, 109.21, 59.91 degrees
Element x y z (fractional)
La1 0.076 0.924 0.750
La2 0.086 0.353 0.751
La3 0.154 0.690 0.997
La4 0.310 0.846 0.503
La5 0.353 0.086 0.251
La6 0.647 0.914 0.749
La7 0.690 0.154 0.497
La8 0.846 0.310 0.003
La9 0.914 0.647 0.249
La10 0.924 0.076 0.250
Pr1 0.000 0.500 0.500
Pr2 0.500 0.000 0.000
Y1 0.472 0.528 0.250
Y2 0.528 0.472 0.750

No. 2
Density functional theory data (PBE-GGA) for a relaxed Cu2P2Pb crystal.

N(E_F) (states/eV per cell): 2.38
Calculated formation energy (meV/atom): 108
Uncorrected energy (eV/atom): -4.436
SG: Imma (74)

Cell lengths 6.795, 6.795, 6.795 Å; angles 136.82, 112.84, 83.26 degrees
Element x y z (fractional)
Cu1 0.000 0.000 0.000
Cu2 0.500 0.000 0.000
Cu3 0.500 0.000 0.500
Cu4 0.500 0.500 0.500
P1 0.211 0.220 0.991
P2 0.271 0.780 0.491
P3 0.729 0.220 0.509
P4 0.789 0.780 0.009
Pb1 0.194 0.444 0.750
Pb2 0.806 0.556 0.250

No. 3
Density functional theory data (PBE-GGA) for a relaxed MgTaH crystal.

N(E_F) (states/eV per cell): 2.18
Energy above the most stable polymorph in this dataset (eV/atom): 2.251
Uncorrected energy (eV/atom): -3.406
SG: F-43m (216)

Cell lengths 4.295, 4.295, 4.295 Å; angles 60.00, 60.00, 60.00 degrees
Element x y z (fractional)
Mg1 0.000 0.000 0.000
Ta1 0.250 0.250 0.250
H1 0.750 0.750 0.750

No. 4
Density functional theory data (PBE-GGA) for a relaxed ErFeSi2Rh crystal.

N(E_F) (states/eV per cell): 2.32
Raw formation energy (meV per atom): -897
Uncorrected energy (eV/atom): -7.142
SG: I-4m2 (119)

Cell lengths 5.605, 5.605, 5.605 Å; angles 138.05, 138.05, 60.83 degrees
Element x y z (fractional)
Er1 0.000 0.000 0.000
Fe1 0.750 0.250 0.500
Si1 0.373 0.373 0.000
Si2 0.627 0.627 0.000
Rh1 0.250 0.750 0.500

No. 5
Density functional theory data (PBE-GGA) for a relaxed Li3Er3SbSe8 crystal.

N(E_F) (states/eV per cell): 1.77
Raw formation energy (meV per atom): -1378
Uncorrected energy (eV/atom): -4.807
SG: R-3m (166)

Cell lengths 7.989, 7.989, 7.989 Å; angles 60.64, 60.64, 60.64 degrees
Element x y z (fractional)
Li1 0.000 0.500 0.500
Li2 0.500 0.000 0.500
Li3 0.500 0.500 0.000
Er1 0.000 0.000 0.500
Er2 0.000 0.500 0.000
Er3 0.500 0.000 0.000
Sb1 0.500 0.500 0.500
Se1 0.250 0.250 0.250
Se2 0.254 0.254 0.744
Se3 0.254 0.744 0.254
Se4 0.256 0.746 0.746
Se5 0.744 0.254 0.254
Se6 0.746 0.256 0.746
Se7 0.746 0.746 0.256
Se8 0.750 0.750 0.750

No. 6
Density functional theory data (PBE-GGA) for a relaxed TaAsOs2 crystal.

N(E_F) (states/eV per cell): 2.02
Calculated formation energy (meV/atom): 74
Uncorrected energy (eV/atom): -9.666
SG: Cm (8)

Cell lengths 4.988, 4.988, 4.670 Å; angles 107.19, 107.19, 34.42 degrees
Element x y z (fractional)
Ta1 0.000 0.000 0.000
As1 0.755 0.755 0.191
Os1 0.233 0.233 0.629
Os2 0.492 0.492 0.504

No. 7
Density functional theory data (PBE-GGA) for a relaxed TaTe2Pt crystal.

N(E_F) (states/eV per cell): 1.81
Raw formation energy (meV per atom): -307
Uncorrected energy (eV/atom): -6.352
SG: Cm (8)

Cell lengths 4.087, 4.087, 7.571 Å; angles 105.51, 105.51, 59.96 degrees
Element x y z (fractional)
Ta1 0.000 0.000 0.000
Te1 0.254 0.254 0.760
Te2 0.447 0.447 0.342
Pt1 0.717 0.717 0.152

No. 8
Density functional theory data (PBE-GGA) for a relaxed Mg5CdGa2Ag crystal.

N(E_F) (states/eV per cell): 7.55
Calculated formation energy (meV/atom): -53
Uncorrected energy (eV/atom): -2.030
SG: I4/mcm (140)

Cell lengths 9.231, 9.231, 9.231 Å; angles 135.33, 135.33, 65.03 degrees
Element x y z (fractional)
Mg1 0.000 0.000 0.000
Mg2 0.071 0.571 0.917
Mg3 0.155 0.071 0.500
Mg4 0.345 0.845 0.917
Mg5 0.429 0.345 0.500
Mg6 0.500 0.500 0.000
Mg7 0.571 0.655 0.500
Mg8 0.655 0.155 0.083
Mg9 0.845 0.929 0.500
Mg10 0.929 0.429 0.083
Cd1 0.250 0.250 0.000
Cd2 0.750 0.750 0.000
Ga1 0.124 0.376 0.500
Ga2 0.376 0.876 0.252
Ga3 0.624 0.124 0.748
Ga4 0.876 0.624 0.500
Ag1 0.250 0.750 0.500
Ag2 0.750 0.250 0.500

No. 9
Density functional theory data (PBE-GGA) for a relaxed LaMoPb2 crystal.

N(E_F) (states/eV per cell): 3.74
Energy above the most stable polymorph in this dataset (eV/atom): 0.295
Calculated formation energy (meV/atom): 456
Uncorrected energy (eV/atom): -5.338
SG: F-43m (216)

Cell lengths 5.344, 5.344, 5.344 Å; angles 60.00, 60.00, 60.00 degrees
Element x y z (fractional)
La1 0.000 0.000 0.000
Mo1 0.250 0.250 0.250
Pb1 0.500 0.500 0.500
Pb2 0.750 0.750 0.750

No. 10
Density functional theory data (PBE-GGA) for a relaxed PtCl3 crystal.

N(E_F) (states/eV per cell): 5.23
Raw formation energy (meV per atom): 551
Uncorrected energy (eV/atom): -2.344
SG: P4/mmm (123)

Cell lengths 3.145, 3.145, 9.505 Å; angles 90.00, 90.00, 90.00 degrees
Element x y z (fractional)
Pt1 0.000 0.000 0.000
Cl1 0.000 0.000 0.500
Cl2 0.500 0.500 0.164
Cl3 0.500 0.500 0.836

No. 11
Density functional theory data (PBE-GGA) for a relaxed Ce4Br5N crystal.

N(E_F) (states/eV per cell): 23.73
Raw formation energy (meV per atom): -1541
Uncorrected energy (eV/atom): -5.583
SG: C2/m (12)

Cell lengths 9.232, 9.232, 8.357 Å; angles 103.34, 103.34, 24.16 degrees
Element x y z (fractional)
Ce1 0.003 0.003 0.299
Ce2 0.360 0.360 0.428
Ce3 0.640 0.640 0.572
Ce4 0.997 0.997 0.701
Br1 0.164 0.164 0.849
Br2 0.174 0.174 0.321
Br3 0.500 0.500 0.000
Br4 0.826 0.826 0.679
Br5 0.836 0.836 0.151
N1 0.500 0.500 0.500

No. 12
Density functional theory data (PBE-GGA) for a relaxed K3Hg crystal.

N(E_F) (states/eV per cell): 3.81
Calculated formation energy (meV/atom): -89
Uncorrected energy (eV/atom): -0.988
SG: P6_3/mmc (194)

Cell lengths 8.544, 8.544, 6.246 Å; angles 90.00, 90.00, 120.00 degrees
Element x y z (fractional)
K1 0.179 0.359 0.250
K2 0.179 0.821 0.250
K3 0.359 0.179 0.750
K4 0.641 0.821 0.250
K5 0.821 0.179 0.750
K6 0.821 0.641 0.750
Hg1 0.333 0.667 0.750
Hg2 0.667 0.333 0.250

No. 13
Density functional theory data (PBE-GGA) for a relaxed ReTcRh2Se crystal.

N(E_F) (states/eV per cell): 5.12
Raw formation energy (meV per atom): 1278
Uncorrected energy (eV/atom): -6.922
SG: P4/mmm (123)

Cell lengths 4.501, 4.501, 4.576 Å; angles 90.00, 90.00, 90.00 degrees
Element x y z (fractional)
Re1 0.000 0.000 0.000
Tc1 0.500 0.500 0.000
Rh1 0.000 0.500 0.500
Rh2 0.500 0.000 0.500
Se1 0.000 0.000 0.500

No. 14
Density functional theory data (PBE-GGA) for a relaxed Er2Zn5Au3 crystal.

N(E_F) (states/eV per cell): 7.69
Energy above the most stable polymorph in this dataset (eV/atom): 0.024
Calculated formation energy (meV/atom): -454
Uncorrected energy (eV/atom): -2.987
SG: Ibam (72)

Cell lengths 8.688, 8.688, 8.688 Å; angles 99.73, 92.55, 141.86 degrees
Element x y z (fractional)
Er1 0.241 0.125 0.365
Er2 0.259 0.625 0.884
Er3 0.741 0.375 0.116
Er4 0.759 0.875 0.635
Zn1 0.135 0.865 0.000
Zn2 0.250 0.507 0.257
Zn3 0.250 0.750 0.500
Zn4 0.250 0.993 0.743
Zn5 0.365 0.365 0.730
Zn6 0.635 0.635 0.270
Zn7 0.750 0.007 0.257
Zn8 0.750 0.250 0.500
Zn9 0.750 0.493 0.743
Zn10 0.865 0.135 0.000
Au1 0.154 0.381 0.534
Au2 0.250 0.250 0.000
Au3 0.346 0.881 0.227
Au4 0.654 0.119 0.773
Au5 0.750 0.750 0.000
Au6 0.846 0.619 0.466

No. 15
Density functional theory data (PBE-GGA) for a relaxed SmPuNp2N4 crystal.

N(E_F) (states/eV per cell): 17.52
Raw formation energy (meV per atom): -1208
Uncorrected energy (eV/atom): -10.987
SG: P2/m (10)

Cell lengths 6.010, 3.475, 6.062 Å; angles 90.00, 109.41, 90.00 degrees
Element x y z (fractional)
Sm1 0.000 0.000 0.000
Pu1 0.500 0.500 0.000
Np1 0.000 0.500 0.500
Np2 0.500 0.000 0.500
N1 0.247 0.000 0.731
N2 0.262 0.500 0.275
N3 0.738 0.500 0.725
N4 0.753 0.000 0.269

No. 16
Density functional theory data (PBE-GGA) for a relaxed Nd3TlRh3 crystal.

N(E_F) (states/eV per cell): 6.65
Calculated formation energy (meV/atom): -336
Uncorrected energy (eV/atom): -5.868
SG: P6_3/m (176)

Cell lengths 8.844, 8.844, 5.661 Å; angles 90.00, 90.00, 120.00 degrees
Element x y z (fractional)
Nd1 0.042 0.343 0.250
Nd2 0.302 0.958 0.250
Nd3 0.343 0.302 0.750
Nd4 0.657 0.698 0.250
Nd5 0.698 0.042 0.750
Nd6 0.958 0.657 0.750
Tl1 0.333 0.667 0.750
Tl2 0.667 0.333 0.250
Rh1 0.033 0.356 0.750
Rh2 0.323 0.967 0.750
Rh3 0.356 0.323 0.250
Rh4 0.644 0.677 0.750
Rh5 0.677 0.033 0.250
Rh6 0.967 0.644 0.250

No. 17
Density functional theory data (PBE-GGA) for a relaxed Li2LaCeSi2 crystal.

N(E_F) (states/eV per cell): 6.40
Raw formation energy (meV per atom): -483
Uncorrected energy (eV/atom): -4.738
SG: P-3m1 (164)

Cell lengths 4.505, 4.505, 7.465 Å; angles 90.00, 90.00, 120.00 degrees
Element x y z (fractional)
Li1 0.333 0.667 0.221
Li2 0.667 0.333 0.779
La1 0.000 0.000 0.500
Ce1 0.000 0.000 0.000
Si1 0.333 0.667 0.770
Si2 0.667 0.333 0.230

No. 18
Density functional theory data (PBE-GGA) for a relaxed LaHfNi3 crystal.

N(E_F) (states/eV per cell): 2.67
Energy above the most stable polymorph in this dataset (eV/atom): 0.000
Calculated formation energy (meV/atom): 244
Uncorrected energy (eV/atom): -6.201
SG: Pm-3m (221)

Cell lengths 4.714, 4.714, 4.714 Å; angles 90.00, 90.00, 90.00 degrees
Element x y z (fractional)
La1 0.000 0.000 0.000
Hf1 0.500 0.500 0.500
Ni1 0.000 0.500 0.500
Ni2 0.500 0.000 0.500
Ni3 0.500 0.500 0.000

No. 19
Density functional theory data (PBE-GGA) for a relaxed MgBiW2Se crystal.

N(E_F) (states/eV per cell): 7.21
Raw formation energy (meV per atom): 1208
Uncorrected energy (eV/atom): -5.765
SG: P4/mmm (123)

Cell lengths 4.723, 4.723, 4.964 Å; angles 90.00, 90.00, 90.00 degrees
Element x y z (fractional)
Mg1 0.000 0.000 0.000
Bi1 0.500 0.500 0.000
W1 0.000 0.500 0.500
W2 0.500 0.000 0.500
Se1 0.000 0.000 0.500

No. 20
Density functional theory data (PBE-GGA) for a relaxed KUTe3Pb crystal.

N(E_F) (states/eV per cell): 12.75
Raw formation energy (meV per atom): -622
Uncorrected energy (eV/atom): -4.875
SG: P2_1/m (11)

Cell lengths 9.697, 4.540, 10.882 Å; angles 90.00, 103.88, 90.00 degrees
Element x y z (fractional)
K1 0.183 0.250 0.213
K2 0.817 0.750 0.787
U1 0.354 0.750 0.844
U2 0.646 0.250 0.156
Te1 0.122 0.250 0.835
Te2 0.348 0.750 0.555
Te3 0.422 0.750 0.137
Te4 0.578 0.250 0.863
Te5 0.652 0.250 0.445
Te6 0.878 0.750 0.165
Pb1 0.140 0.250 0.560
Pb2 0.860 0.750 0.440

No. 21
Density functional theory data (PBE-GGA) for a relaxed Rb2Ag2Pb crystal.

N(E_F) (states/eV per cell): 4.21
Energy above the most stable polymorph in this dataset (eV/atom): 0.038
Calculated formation energy (meV/atom): 102
Uncorrected energy (eV/atom): -2.167
SG: I4/mmm (139)

Cell lengths 12.101, 12.101, 12.101 Å; angles 161.43, 161.43, 26.38 degrees
Element x y z (fractional)
Rb1 0.118 0.118 0.000
Rb2 0.882 0.882 0.000
Ag1 0.250 0.750 0.500
Ag2 0.750 0.250 0.500
Pb1 0.500 0.500 0.000

No. 22
Density functional theory data (PBE-GGA) for a relaxed SrOs crystal.

N(E_F) (states/eV per cell): 38.27
Calculated formation energy (meV/atom): 2474
Uncorrected energy (eV/atom): -3.981
SG: Pm-3n (223)

Cell lengths 8.467, 8.467, 8.467 Å; angles 90.00, 90.00, 90.00 degrees
Element x y z (fractional)
Sr1 0.000 0.250 0.500
Sr2 0.000 0.750 0.500
Sr3 0.250 0.500 0.000
Sr4 0.500 0.000 0.250
Sr5 0.500 0.000 0.750
Sr6 0.750 0.500 0.000
Os1 0.000 0.500 0.250
Os2 0.000 0.500 0.750
Os3 0.250 0.000 0.500
Os4 0.500 0.250 0.000
Os5 0.500 0.750 0.000
Os6 0.750 0.000 0.500

No. 23
Density functional theory data (PBE-GGA) for a relaxed Sc2Te crystal.

N(E_F) (states/eV per cell): 3.32
Raw formation energy (meV per atom): -449
Uncorrected energy (eV/atom): -5.718
SG: P4/mmm (123)

Cell lengths 4.452, 4.452, 4.028 Å; angles 90.00, 90.00, 90.00 degrees
Element x y z (fractional)
Sc1 0.000 0.500 0.000
Sc2 0.500 0.000 0.000
Te1 0.000 0.000 0.500

No. 24
Density functional theory data (PBE-GGA) for a relaxed Ce3Pm2Hg4 crystal.

N(E_F) (states/eV per cell): 22.06
Calculated formation energy (meV/atom): -299
Uncorrected energy (eV/atom): -3.467
SG: C2/m (12)

Cell lengths 5.400, 5.400, 10.098 Å; angles 92.93, 92.93, 58.57 degrees
Element x y z (fractional)
Ce1 0.000 0.000 0.000
Ce2 0.366 0.366 0.438
Ce3 0.634 0.634 0.562
Pm1 0.323 0.323 0.783
Pm2 0.677 0.677 0.217
Hg1 0.027 0.027 0.341
Hg2 0.338 0.338 0.109
Hg3 0.662 0.662 0.891
Hg4 0.973 0.973 0.659